This record from Alexandria describes crystalline LiCrP2O7 at its relaxed geometry. The functional is PBE with a Hubbard U.

Computed properties:
E = -7.191 eV per atom
Offset from the most stable computed form = 3.4 kJ per mole of atoms

a = 7.3409 Å, b = 9.9884 Å, c = 8.2227 Å
α = 90.00°, β = 110.73°, γ = 90.00°
Last column: nearest neighbours and their distance in Å.
Space group P2_1/c (No. 14)
Asymmetric unit:
Li: 0.0138 0.1919 0.4535 x4  4 O 2.05-2.18
Cr: 0.2394 0.1081 0.2565 x4  6 O 1.98-2.08
P: 0.1388 0.0843 0.8175 x4  4 O 1.52-1.60
P: 0.4517 0.1386 0.6992 x4  4 O 1.52-1.65
O: 0.0126 0.5328 0.2215 x4  1 P 1.53
O: 0.0738 0.2175 0.7151 x4  1 P 1.56
O: 0.1349 0.1060 0.9986 x4  1 P 1.52
O: 0.3046 0.1231 0.5134 x4  1 P 1.54
O: 0.3513 0.5740 0.7669 x4  1 P 1.52
O: 0.3552 0.0549 0.8216 x4  2 P 1.60-1.65
O: 0.4713 0.2156 0.2621 x4  1 P 1.53